Computed, not measured: a relaxed InSiPt2 crystal at the PBE level of DFT.

formation energy without anion corrections: -0.59 eV/f.u.
SG: R3m, No. 160
size of the total moment: 0.000 μB/f.u.

Lattice parameters (Å, degrees): 3.292 3.292 23.490 90.00 90.00 120.00
Fractional positions:
In  0.000  0.000  0.000
In  0.333  0.667  0.667
In  0.667  0.333  0.333
Si  0.000  0.000  0.233
Si  0.333  0.667  0.900
Si  0.667  0.333  0.567
Pt  0.000  0.000  0.508
Pt  0.000  0.000  0.751
Pt  0.333  0.667  0.174
Pt  0.333  0.667  0.418
Pt  0.667  0.333  0.085
Pt  0.667  0.333  0.841